{"formula": "Tm4Ru3Au", "functional": "PBE", "state": "optimized geometry", "density_g_cm3": 12.4, "formation_enthalpy_0k_ev_per_atom": -0.5695, "e_tot_ev_per_atom": -6.693, "lattice": [[-0.428, -2.281, 4.192], [1.596, -5.915, -3.055], [9.281, 1.573, 1.804]], "species": ["Ru", "Ru", "Tm", "Tm", "Ru", "Tm", "Au", "Au", "Ru", "Ru", "Tm", "Tm", "Ru", "Tm", "Tm", "Tm"], "frac_coords": [[0.500, 0.500, 0.250], [0.500, 0.000, 0.250], [0.500, 0.240, 0.500], [0.000, 0.760, 0.750], [0.000, 0.000, 0.500], [0.500, 0.760, 0.500], [0.000, 0.500, 0.500], [0.000, 0.500, 0.000], [0.000, 0.000, 0.000], [0.500, 0.000, 0.750], [0.000, 0.760, 0.250], [0.000, 0.240, 0.250], [0.500, 0.500, 0.750], [0.500, 0.240, 0.000], [0.500, 0.760, 0.000], [0.000, 0.240, 0.750]]}